First-principles (PBE-GGA) data for a geometry-optimized AuSe3O structure, as listed in Alexandria.

symmetry	Pm-3m (221)
calculated total energy	-15.38	eV/cell
formation energy without anion corrections	63.79	kJ per mole of atoms
DOS at the Fermi energy	0.85	states/eV/atom

Unit cell a=4.527 b=4.527 c=4.527 alpha=90.00 beta=90.00 gamma=90.00
Positions (direct):
Se (0.000, 0.000, 0.500)
Se (0.000, 0.500, 0.000)
Au (0.500, 0.500, 0.500)
Se (0.500, 0.000, 0.000)
O (0.000, 0.000, 0.000)